# PBE TlNi2Ir, optimized geometry
data_TlNi2Ir
_symmetry_space_group_name_H-M 'P 1'
_symmetry_Int_Tables_number 1
_symmetry_space_group_name_Hall 'P 1'
_cell_length_a 4.7448
_cell_length_b 4.7448
_cell_length_c 4.7448
_cell_angle_alpha 131.41
_cell_angle_beta 131.41
_cell_angle_gamma 71.17
loop_
_atom_site_label
_atom_site_fract_x
_atom_site_fract_y
_atom_site_fract_z
Tl1 0.0000 0.0000 0.0000
Ni1 0.5000 0.5000 0.0000
Ni2 0.7500 0.2500 0.5000
Ir1 0.2500 0.7500 0.5000
# Total magnetic moment in μB per cell: 1.13
# DFT formation energy in eV/atom: 0.34
# Uncorrected energy in eV/atom: -5.361
# Symmetry: I-4m2
# Energy above the most stable polymorph in this dataset in meV per atom: 42

***

# PBE Li5CoPdN2, optimized geometry
data_Li5CoPdN2
_symmetry_space_group_name_H-M 'P 1'
_symmetry_Int_Tables_number 1
_symmetry_space_group_name_Hall 'P 1'
_cell_length_a 4.0758
_cell_length_b 4.0758
_cell_length_c 7.3589
_cell_angle_alpha 90.00
_cell_angle_beta 90.00
_cell_angle_gamma 90.00
loop_
_atom_site_label
_atom_site_fract_x
_atom_site_fract_y
_atom_site_fract_z
Li1 0.0000 0.0000 0.0000
Li2 0.0000 0.5000 0.2678
Li3 0.0000 0.5000 0.7322
Li4 0.5000 0.0000 0.2678
Li5 0.5000 0.0000 0.7322
Co1 0.0000 0.0000 0.5000
Pd1 0.5000 0.5000 0.0000
N1 0.0000 0.0000 0.2708
N2 0.0000 0.0000 0.7292
# Formation energy (no corrections) in kJ per mole of atoms: -19
# Total magnetic moment in μB per cell: 0.19
# Uncorrected energy in eV/atom: -4.481
# Symmetry: P4/mmm

***

# PBE AlTlSi3O8, optimized geometry
data_AlTlSi3O8
_symmetry_space_group_name_H-M 'P 1'
_symmetry_Int_Tables_number 1
_symmetry_space_group_name_Hall 'P 1'
_cell_length_a 7.3539
_cell_length_b 7.7951
_cell_length_c 8.1005
_cell_angle_alpha 111.20
_cell_angle_beta 105.01
_cell_angle_gamma 103.64
loop_
_atom_site_label
_atom_site_fract_x
_atom_site_fract_y
_atom_site_fract_z
Al1 0.2166 0.3222 0.2046
Al2 0.7834 0.6778 0.7954
Tl1 0.1489 0.8017 0.2791
Tl2 0.8511 0.1983 0.7209
Si1 0.2343 0.6996 0.8253
Si2 0.3390 0.1057 0.8472
Si3 0.3522 0.3378 0.6038
Si4 0.6478 0.6622 0.3962
Si5 0.6610 0.8943 0.1528
Si6 0.7657 0.3004 0.1747
O1 0.0202 0.6506 0.8505
O2 0.2194 0.1707 0.9845
O3 0.2440 0.4970 0.6791
O4 0.2585 0.2267 0.3716
O5 0.2729 0.8636 0.7427
O6 0.2817 0.1629 0.6696
O7 0.4039 0.5587 0.3032
O8 0.4137 0.7919 0.0389
O9 0.5863 0.2081 0.9611
O10 0.5961 0.4413 0.6968
O11 0.7183 0.8371 0.3304
O12 0.7271 0.1364 0.2573
O13 0.7415 0.7733 0.6284
O14 0.7560 0.5030 0.3209
O15 0.7806 0.8293 0.0155
O16 0.9798 0.3494 0.1495
# Formation energy (no corrections) in kJ per mole of atoms: -256
# Total magnetic moment in μB per cell: 0.00
# Uncorrected energy in eV/atom: -7.427
# Symmetry: P-1

***

# PBE Mn6CrOs2, optimized geometry
data_Mn6CrOs2
_symmetry_space_group_name_H-M 'P 1'
_symmetry_Int_Tables_number 1
_symmetry_space_group_name_Hall 'P 1'
_cell_length_a 4.8220
_cell_length_b 4.8220
_cell_length_c 5.4162
_cell_angle_alpha 99.91
_cell_angle_beta 99.91
_cell_angle_gamma 60.85
loop_
_atom_site_label
_atom_site_fract_x
_atom_site_fract_y
_atom_site_fract_z
Mn1 0.1031 0.6558 0.6570
Mn2 0.3442 0.8969 0.3430
Mn3 0.3672 0.3672 0.3165
Mn4 0.6328 0.6328 0.6835
Mn5 0.6558 0.1031 0.6570
Mn6 0.8969 0.3442 0.3430
Cr1 0.5000 0.5000 0.0000
Os1 0.1702 0.1702 0.8660
Os2 0.8298 0.8298 0.1340
# Total magnetic moment in μB per cell: 0.01
# DFT formation energy in eV/atom: 0.22
# Uncorrected energy in eV/atom: -9.456
# Symmetry: C2/m

***

# PBE Ac4Ge2Ru, optimized geometry
data_Ac4Ge2Ru
_symmetry_space_group_name_H-M 'P 1'
_symmetry_Int_Tables_number 1
_symmetry_space_group_name_Hall 'P 1'
_cell_length_a 6.5301
_cell_length_b 6.5301
_cell_length_c 9.0479
_cell_angle_alpha 120.02
_cell_angle_beta 120.02
_cell_angle_gamma 42.90
loop_
_atom_site_label
_atom_site_fract_x
_atom_site_fract_y
_atom_site_fract_z
Ac1 0.0809 0.0809 0.3642
Ac2 0.3232 0.3232 0.9287
Ac3 0.6768 0.6768 0.0713
Ac4 0.9191 0.9191 0.6358
Ge1 0.3737 0.3737 0.3536
Ge2 0.6263 0.6263 0.6464
Ru1 0.0000 0.0000 0.0000
# Total magnetic moment in μB per cell: 0.00
# DFT formation energy in eV/atom: -0.45
# Uncorrected energy in eV/atom: -5.444
# Symmetry: C2/m
# Energy above the most stable polymorph in this dataset in meV per atom: 0

***

# PBE La2PaWN6, optimized geometry
data_La2PaWN6
_symmetry_space_group_name_H-M 'P 1'
_symmetry_Int_Tables_number 1
_symmetry_space_group_name_Hall 'P 1'
_cell_length_a 4.1438
_cell_length_b 4.1438
_cell_length_c 8.6187
_cell_angle_alpha 90.00
_cell_angle_beta 90.00
_cell_angle_gamma 90.00
loop_
_atom_site_label
_atom_site_fract_x
_atom_site_fract_y
_atom_site_fract_z
La1 0.0000 0.0000 0.2195
La2 0.0000 0.0000 0.7805
Pa1 0.5000 0.5000 0.5000
W1 0.5000 0.5000 0.0000
N1 0.0000 0.5000 0.0000
N2 0.0000 0.5000 0.5000
N3 0.5000 0.0000 0.0000
N4 0.5000 0.0000 0.5000
N5 0.5000 0.5000 0.2304
N6 0.5000 0.5000 0.7696
# Formation energy (no corrections) in kJ per mole of atoms: -95
# Total magnetic moment in μB per cell: 0.00
# Uncorrected energy in eV/atom: -9.210
# Symmetry: P4/mmm